No. 1
A relaxed AlCoTc2 crystal. Source: Alexandria via LeMat-Bulk, functional GGA-PBE.

Structure (POSCAR):
```
AlCoTc2
1.0
-3.359 4.664 6.308
-4.045 2.162 7.196
-1.564 3.185 7.761
Co Tc Al
1 2 1
direct
0.752 0.752 0.752
0.002 0.002 0.002
0.251 0.251 0.251
0.496 0.496 0.496
```

**Spin magnetization**: 0.216 μB/atom
**DOS(E_F)**: 3.8 states/eV/f.u.
**Space group**: R3m (160)
**Crystal system**: trigonal

No. 2
A relaxed AlCoTc2 crystal. Source: Alexandria via LeMat-Bulk, functional GGA-PBE.

Structure (POSCAR):
```
AlCoTc2
1.0
4.376 0.000 0.000
0.000 4.376 0.000
0.000 0.000 2.807
Co Tc Al
1 2 1
direct
0.000 0.500 0.500
0.000 0.000 0.000
0.500 0.500 0.000
0.500 0.000 0.500
```

**Spin magnetization**: 0.371 μB/atom
**DOS(E_F)**: 4.2 states/eV/f.u.
**Space group**: P4/mmm (123)
**Crystal system**: tetragonal

No. 3
A relaxed AlCoTc2 crystal. Source: Alexandria via LeMat-Bulk, functional GGA-PBE.

Structure (POSCAR):
```
AlCoTc2
1.0
4.779 -0.028 -0.197
2.035 4.325 0.197
-3.299 -2.320 2.572
Co Tc Al
1 2 1
direct
0.250 0.750 0.500
0.000 0.000 0.000
0.500 0.500 0.000
0.750 0.250 0.500
```

**Spin magnetization**: 0.000 μB/atom
**DOS(E_F)**: 2.9 states/eV/f.u.
**Space group**: I4/mmm (139)
**Crystal system**: tetragonal

No. 4
A relaxed AlCoTc3 crystal. Source: Alexandria via LeMat-Bulk, functional GGA-PBE.

Structure (POSCAR):
```
AlCoTc3
1.0
-1.035 0.688 4.194
-0.230 -4.319 0.652
4.244 -0.066 1.058
Co Tc Al
1 3 1
direct
0.500 0.500 0.500
0.000 0.500 0.000
0.000 0.000 0.500
0.500 0.000 0.000
0.000 0.000 0.000
```

**Spin magnetization**: 0.000 μB/atom
**Offset from the most stable computed form**: 0.5150 eV/atom
**DOS(E_F)**: 10.6 states/eV/f.u.
**Space group**: Pm-3m (221)
**Crystal system**: cubic

No. 5
A relaxed AlCoTc2 crystal. Source: Alexandria via LeMat-Bulk, functional GGA-PBE.

Structure (POSCAR):
```
AlCoTc2
1.0
2.979 0.000 0.000
0.000 2.979 0.000
0.000 0.000 6.069
Co Tc Al
1 2 1
direct
0.500 0.500 0.738
0.000 0.000 0.997
0.500 0.500 0.245
0.000 0.000 0.519
```

**Spin magnetization**: 0.311 μB/atom
**DOS(E_F)**: 4.1 states/eV/f.u.
**Space group**: P4mm (99)
**Crystal system**: tetragonal

No. 6
A relaxed AlCoTc2 crystal. Source: Alexandria via LeMat-Bulk, functional GGA-PBE.

Structure (POSCAR):
```
AlCoTc2
1.0
4.680 0.000 0.000
3.879 2.619 0.000
0.901 0.276 4.422
Co Tc Al
1 2 1
direct
0.250 0.250 0.250
0.991 0.991 0.010
0.509 0.509 0.490
0.750 0.750 0.750
```

**Spin magnetization**: 0.000 μB/atom
**DOS(E_F)**: 3.0 states/eV/f.u.
**Space group**: C2/m (12)
**Crystal system**: monoclinic

No. 7
A relaxed AlCo2Tc crystal. Source: Alexandria via LeMat-Bulk, functional GGA-PBE.

Structure (POSCAR):
```
AlCo2Tc
1.0
4.541 0.006 0.000
1.655 4.229 0.000
-3.098 -2.117 2.558
Co Tc Al
2 1 1
direct
0.000 0.000 0.000
0.250 0.750 0.500
0.500 0.500 0.000
0.750 0.250 0.500
```

**Spin magnetization**: 0.207 μB/atom
**DOS(E_F)**: 4.2 states/eV/f.u.
**Space group**: I-4m2 (119)
**Crystal system**: tetragonal

No. 8
A relaxed AlCo2Tc crystal. Source: Alexandria via LeMat-Bulk, functional GGA-PBE.

Structure (POSCAR):
```
AlCo2Tc
1.0
3.033 0.000 0.000
0.000 4.076 0.000
0.000 0.000 4.076
Co Tc Al
2 1 1
direct
0.000 0.000 0.000
0.000 0.500 0.500
0.500 0.500 0.000
0.500 0.000 0.500
```

**Spin magnetization**: 0.942 μB/atom
**DOS(E_F)**: 1.5 states/eV/f.u.
**Space group**: P4/mmm (123)
**Crystal system**: tetragonal

Number 1: energy of formation -0.070 eV/atom. Number 2: energy of formation -0.024 eV/atom. Number 3: energy of formation -0.133 eV/atom. Number 4: energy of formation 1.677 eV/atom. Number 5: energy of formation -0.181 eV/atom. Number 6: energy of formation -0.088 eV/atom. Number 7: energy of formation -0.124 eV/atom. Number 8: energy of formation -0.154 eV/atom.